! MgHgTeO | the Open Quantum Materials Database | PBE | relaxed; values from VASP
! relative energy among the computed polymorphs: 0.244 eV/atom
! symmetry: No. 62
! crystal system: orthorhombic
&SYSTEM
  ibrav = 0, nat = 16, ntyp = 4
/
ATOMIC_SPECIES
Mg 24.30 Mg.upf
Hg 200.59 Hg.upf
Te 127.60 Te.upf
O 16.00 O.upf
CELL_PARAMETERS angstrom
6.0910 0.0000 0.0000
0.0000 4.0748 0.0000
0.0000 0.0000 14.2511
ATOMIC_POSITIONS angstrom
Mg 0.5853 1.0187 2.7495
Mg 2.4602 3.0561 9.8751
Mg 3.6308 1.0187 4.3760
Mg 5.5057 3.0561 11.5016
Hg 1.0366 3.0561 5.4835
Hg 2.0089 1.0187 12.6090
Hg 4.0821 3.0561 1.6421
Hg 5.0543 1.0187 8.7677
Te 1.4081 3.0561 0.9260
Te 1.6374 1.0187 8.0516
Te 4.4536 3.0561 6.1996
Te 4.6829 1.0187 13.3251
O 1.3349 3.0561 11.4377
O 1.7106 1.0187 4.3122
O 4.3804 3.0561 9.9390
O 4.7561 1.0187 2.8134

=====

! La2YIr2 | the Open Quantum Materials Database | PBE | relaxed; values from VASP
! symmetry: No. 127
! calculated formation energy: -0.654 eV per atom
! magnetic moment: 0.00 μB/cell
! crystal system: tetragonal
&SYSTEM
  ibrav = 0, nat = 10, ntyp = 3
/
ATOMIC_SPECIES
La 138.91 La.upf
Y 88.91 Y.upf
Ir 192.22 Ir.upf
CELL_PARAMETERS angstrom
7.8305 0.0000 0.0000
0.0000 7.8305 0.0000
0.0000 0.0000 4.1302
ATOMIC_POSITIONS angstrom
La 1.2498 2.6655 0.0000
La 2.6655 6.5808 0.0000
La 5.1650 1.2498 0.0000
La 6.5808 5.1650 0.0000
Y 0.0000 0.0000 2.0651
Y 3.9153 3.9153 2.0651
Ir 1.1449 5.0602 2.0651
Ir 2.7704 1.1449 2.0651
Ir 5.0602 6.6856 2.0651
Ir 6.6856 2.7704 2.0651

=====

! HoTm5Bi6 | the Open Quantum Materials Database | PBE | relaxed; values from VASP
! symmetry: No. 12
! magnetic moment: 0.00 μB/cell
! DFT total energy: -60.93 eV per cell
! crystal system: monoclinic
&SYSTEM
  ibrav = 0, nat = 12, ntyp = 3
/
ATOMIC_SPECIES
Ho 164.93 Ho.upf
Tm 168.93 Tm.upf
Bi 208.98 Bi.upf
CELL_PARAMETERS angstrom
3.8305 -6.6341 0.0000
3.8305 6.6341 0.0000
-2.5533 0.0000 7.2222
ATOMIC_POSITIONS angstrom
Ho 0.0000 0.0000 0.0000
Tm 2.5539 4.4338 3.6111
Tm 3.8305 2.2172 0.0000
Tm 2.5539 0.0000 3.6111
Tm 3.8305 -2.2172 0.0000
Tm 2.5539 -4.4338 3.6111
Bi 1.2827 2.2192 1.8132
Bi 0.0122 0.0000 5.4163
Bi 1.2827 -2.2192 1.8132
Bi 3.8250 2.2192 5.4089
Bi 5.0955 0.0000 1.8059
Bi 3.8250 -2.2192 5.4089

=====

! Li2CdSnSe4 | the Open Quantum Materials Database | PBE | relaxed; values from VASP
! symmetry: No. 31
! DFT total energy: -58.13 eV per cell
! crystal system: orthorhombic
&SYSTEM
  ibrav = 0, nat = 16, ntyp = 4
/
ATOMIC_SPECIES
Li 6.94 Li.upf
Cd 112.41 Cd.upf
Sn 118.71 Sn.upf
Se 78.96 Se.upf
CELL_PARAMETERS angstrom
8.4211 0.0000 0.0000
0.0000 7.2855 0.0000
0.0000 0.0000 6.8828
ATOMIC_POSITIONS angstrom
Li 2.0842 1.2445 0.0000
Li 2.1264 6.0410 3.4414
Li 6.2947 6.0410 3.4414
Li 6.3370 1.2445 0.0000
Cd 0.0000 2.5012 3.4328
Cd 4.2106 4.7842 6.8742
Sn 0.0000 4.8805 0.0083
Sn 4.2106 2.4050 3.4497
Se 0.0000 2.4440 6.1165
Se 0.0000 5.0245 2.5668
Se 2.0483 6.1317 5.9895
Se 2.1623 1.1538 2.5482
Se 4.2106 2.2610 6.0082
Se 4.2106 4.8415 2.6751
Se 6.2589 1.1538 2.5482
Se 6.3728 6.1317 5.9895